[1]
# PBE ReHC4O4, optimized geometry
# M_tot	0.002	μB per formula unit
# raw total energy	-706.09	eV/cell
data_ReHC4O4
_chemical_formula_sum 'Re9 H9 C36 O36'
_cell_length_a 14.369
_cell_length_b 14.369
_cell_length_c 6.798
_cell_angle_alpha 90.00
_cell_angle_beta 90.00
_cell_angle_gamma 120.00
_space_group_name_H-M_alt 'P 1'
_space_group_IT_number 1
_space_group_name_Hall 'P 1'
loop_
_atom_site_label
_atom_site_type_symbol
_atom_site_fract_x
_atom_site_fract_y
_atom_site_fract_z
Re1 Re 0.020 0.103 0.000
Re2 Re 0.084 0.980 0.667
Re3 Re 0.250 0.686 0.197
Re4 Re 0.314 0.563 0.530
Re5 Re 0.437 0.750 0.864
Re6 Re 0.560 0.260 0.087
Re7 Re 0.699 0.440 0.754
Re8 Re 0.740 0.301 0.421
Re9 Re 0.897 0.916 0.333
H1 H 0.014 0.004 0.179
H2 H 0.322 0.651 0.014
H3 H 0.329 0.678 0.680
H4 H 0.349 0.671 0.347
H5 H 0.655 0.317 0.607
H6 H 0.662 0.345 0.274
H7 H 0.683 0.338 0.940
H8 H 0.990 0.986 0.846
H9 H 0.996 0.010 0.513
C1 C 0.016 0.201 0.193
C2 C 0.060 0.213 0.801
C3 C 0.142 0.534 0.129
C4 C 0.153 0.940 0.468
C5 C 0.159 0.512 0.580
C6 C 0.160 0.693 0.403
C7 C 0.174 0.159 0.064
C8 C 0.176 0.729 0.013
C9 C 0.184 0.134 0.593
C10 C 0.184 0.984 0.860
C11 C 0.271 0.447 0.346
C12 C 0.307 0.467 0.736
C13 C 0.353 0.841 0.246
C14 C 0.392 0.858 0.795
C15 C 0.453 0.167 0.277
C16 C 0.455 0.205 0.881
C17 C 0.466 0.608 0.462
C18 C 0.488 0.647 0.913
C19 C 0.516 0.367 0.151
C20 C 0.533 0.840 0.070
C21 C 0.553 0.409 0.681
C22 C 0.553 0.824 0.679
C23 C 0.591 0.143 0.015
C24 C 0.633 0.148 0.485
C25 C 0.713 0.547 0.943
C26 C 0.750 0.545 0.547
C27 C 0.787 0.847 0.135
C28 C 0.795 0.250 0.214
C29 C 0.799 0.816 0.527
C30 C 0.833 0.287 0.610
C31 C 0.841 0.015 0.397
C32 C 0.852 0.484 0.818
C33 C 0.857 0.447 0.348
C34 C 0.866 0.050 0.926
C35 C 0.950 0.816 0.260
C36 C 0.985 0.826 0.731
O1 O 0.015 0.260 0.307
O2 O 0.068 0.476 0.603
O3 O 0.077 0.449 0.080
O4 O 0.086 0.281 0.686
O5 O 0.105 0.699 0.522
O6 O 0.129 0.755 0.908
O7 O 0.196 0.914 0.352
O8 O 0.244 0.220 0.543
O9 O 0.245 0.374 0.241
O10 O 0.245 0.985 0.974
O11 O 0.264 0.194 0.103
O12 O 0.301 0.406 0.855
O13 O 0.372 0.923 0.747
O14 O 0.387 0.112 0.387
O15 O 0.390 0.172 0.758
O16 O 0.408 0.932 0.270
O17 O 0.471 0.399 0.631
O18 O 0.481 0.422 0.192
O19 O 0.524 0.592 0.936
O20 O 0.551 0.628 0.414
O21 O 0.578 0.059 0.525
O22 O 0.594 0.895 0.188
O23 O 0.601 0.072 0.964
O24 O 0.626 0.871 0.574
O25 O 0.719 0.804 0.019
O26 O 0.725 0.613 0.054
O27 O 0.740 0.755 0.641
O28 O 0.780 0.023 0.876
O29 O 0.782 0.610 0.425
O30 O 0.806 0.069 0.436
O31 O 0.828 0.218 0.091
O32 O 0.888 0.275 0.721
O33 O 0.928 0.529 0.297
O34 O 0.931 0.736 0.770
O35 O 0.941 0.519 0.858
O36 O 0.977 0.756 0.210

[2]
# PBE CoSbIrPd, optimized geometry
# M_tot	1.304	μB per formula unit
# polymorph energy (0 for the lowest one)	0	meV per atom
# raw total energy	-24.95	eV/cell
data_CoSbIrPd
_chemical_formula_sum 'Co1 Sb1 Ir1 Pd1'
_cell_length_a 4.432
_cell_length_b 4.432
_cell_length_c 4.432
_cell_angle_alpha 60.00
_cell_angle_beta 60.00
_cell_angle_gamma 60.00
_space_group_name_H-M_alt 'P 1'
_space_group_IT_number 1
_space_group_name_Hall 'P 1'
loop_
_atom_site_label
_atom_site_type_symbol
_atom_site_fract_x
_atom_site_fract_y
_atom_site_fract_z
Co1 Co 0.000 0.000 0.000
Sb1 Sb 0.750 0.750 0.750
Ir1 Ir 0.500 0.500 0.500
Pd1 Pd 0.250 0.250 0.250

[3]
# PBE NdSiTc, optimized geometry
# M_tot	1.378	μB per formula unit
# polymorph energy (0 for the lowest one)	1009	meV per atom
# raw total energy	-17.17	eV/cell
data_NdSiTc
_chemical_formula_sum 'Nd1 Si1 Tc1'
_cell_length_a 4.699
_cell_length_b 4.699
_cell_length_c 4.699
_cell_angle_alpha 60.00
_cell_angle_beta 60.00
_cell_angle_gamma 60.00
_space_group_name_H-M_alt 'P 1'
_space_group_IT_number 1
_space_group_name_Hall 'P 1'
loop_
_atom_site_label
_atom_site_type_symbol
_atom_site_fract_x
_atom_site_fract_y
_atom_site_fract_z
Nd1 Nd 0.000 0.000 0.000
Si1 Si 0.750 0.750 0.750
Tc1 Tc 0.250 0.250 0.250

[4]
# PBE SmBNO, optimized geometry
# M_tot	0.004	μB per formula unit
# polymorph energy (0 for the lowest one)	370	meV per atom
# raw total energy	-61.62	eV/cell
data_SmBNO
_chemical_formula_sum 'Sm2 B2 N2 O2'
_cell_length_a 2.820
_cell_length_b 5.876
_cell_length_c 5.387
_cell_angle_alpha 90.00
_cell_angle_beta 90.00
_cell_angle_gamma 90.00
_space_group_name_H-M_alt 'P 1'
_space_group_IT_number 1
_space_group_name_Hall 'P 1'
loop_
_atom_site_label
_atom_site_type_symbol
_atom_site_fract_x
_atom_site_fract_y
_atom_site_fract_z
Sm1 Sm 0.000 0.242 0.000
Sm2 Sm 0.000 0.758 0.500
B1 B 0.500 0.264 0.480
B2 B 0.500 0.736 0.980
N1 N 0.000 0.348 0.553
N2 N 0.000 0.652 0.053
O1 O 0.500 0.068 0.321
O2 O 0.500 0.932 0.821